{"formula": "MnAlPt", "functional": "PBEsol", "state": "relaxed", "volume_a3_per_atom": 14.04, "formation_energy_ev_per_fu": -1.68, "energy_ev_per_cell": -44.995, "density_g_cm3": 10.92, "lattice_angstrom": [[4.297, 0.000, 0.000], [-2.149, 3.722, 0.000], [0.000, 0.000, 5.266]], "species": ["Mn", "Mn", "Al", "Al", "Pt", "Pt"], "fractional_positions": [[0.000, 0.000, 0.000], [0.000, 0.000, 0.500], [0.333, 0.667, 0.250], [0.667, 0.333, 0.750], [0.333, 0.667, 0.750], [0.667, 0.333, 0.250]]}

{"formula": "Mg2Si", "functional": "PBEsol", "state": "relaxed", "volume_a3_per_atom": 21.11, "e_form_raw_ev_per_fu": -0.473, "energy_ev_per_cell": -9.654, "density_g_cm3": 2.01, "lattice_angstrom": [[0.000, 3.164, 3.164], [3.164, 0.000, 3.164], [3.164, 3.164, 0.000]], "species": ["Mg", "Mg", "Si"], "fractional_positions": [[0.250, 0.250, 0.250], [0.750, 0.750, 0.750], [0.000, 0.000, 0.000]]}

{"formula": "ScHPd2Pt", "functional": "PBEsol", "state": "relaxed", "volume_a3_per_atom": 12.73, "energy_ev_per_cell": -32.533, "density_g_cm3": 11.84, "lattice_angstrom": [[3.893, 0.000, 0.000], [0.000, 3.893, 0.000], [0.000, 0.000, 4.200]], "species": ["Sc", "H", "Pd", "Pd", "Pt"], "fractional_positions": [[0.000, 0.000, 0.000], [0.000, 0.000, 0.500], [0.000, 0.500, 0.500], [0.500, 0.000, 0.500], [0.500, 0.500, 0.000]]}